The following is a PBE with a Hubbard U calculation of MnRh4O8 after structural relaxation, from the Alexandria database.

Calculated values
crystal system	trigonal
E	-6.668	eV/atom

a b c (Å): 6.106 6.106 6.106
angles (deg): 61.12 61.12 61.12
Element x y z (fractional)
Mn  0.000  0.000  0.000
Rh  0.000  0.000  0.500
Rh  0.000  0.500  0.000
Rh  0.500  0.000  0.000
Rh  0.500  0.500  0.500
O  0.226  0.226  0.226
O  0.232  0.738  0.738
O  0.262  0.262  0.768
O  0.262  0.768  0.262
O  0.738  0.232  0.738
O  0.738  0.738  0.232
O  0.768  0.262  0.262
O  0.774  0.774  0.774